A geometry-optimized MgZrSb2 structure. Source: Alexandria, functional PBE.

abc: 14.156 3.936 7.155
angles: 90.00 95.61 90.00
Space group C2/m (No. 12)
Inequivalent atoms, fractional coordinates:
1 Mg 0.116 0.000 0.498 (multiplicity 4)
2 Zr 0.124 0.000 0.964 (multiplicity 4)
3 Sb 0.026 0.500 0.218 (multiplicity 4)
4 Sb 0.222 0.500 0.738 (multiplicity 4)

Results
Energy relative to the elements, uncorrected (eV per atom): -0.4266
E (eV per formula unit): -20.1
Spin magnetization (μB/f.u.): 0.000

=====

A geometry-optimized Mg2ZrSb structure. Source: Alexandria, functional PBE.

abc: 5.916 9.802 3.189
angles: 90.00 90.00 90.00
Space group Cmmm (No. 65)
Inequivalent atoms, fractional coordinates:
1 Mg 0.250 0.250 0.000 (multiplicity 4)
2 Zr 0.000 0.000 0.500 (multiplicity 2)
3 Sb 0.000 0.500 0.500 (multiplicity 2)

Results
Energy relative to the elements, uncorrected (eV per atom): -0.1246
E (eV per formula unit): -16.4
Spin magnetization (μB/f.u.): 0.000

=====

A geometry-optimized MgZr2Sb structure. Source: Alexandria, functional PBE.

abc: 4.167 5.115 8.702
angles: 90.00 90.00 90.00
Space group Cmmm (No. 65)
Inequivalent atoms, fractional coordinates:
1 Mg 0.000 0.000 0.000 (multiplicity 2)
2 Zr 0.000 0.500 0.268 (multiplicity 4)
3 Sb 0.000 0.000 0.500 (multiplicity 2)

Results
Energy relative to the elements, uncorrected (eV per atom): -0.1571
E (eV per formula unit): -23.4
Spin magnetization (μB/f.u.): 0.000

=====

A geometry-optimized MgZrSb structure. Source: Alexandria, functional PBE.

abc: 6.782 6.782 6.782
angles: 90.00 90.00 90.00
Space group F-43m (No. 216)
Inequivalent atoms, fractional coordinates:
1 Mg 0.000 0.000 0.000 (multiplicity 4)
2 Zr 0.000 0.000 0.500 (multiplicity 4)
3 Sb 0.250 0.250 0.250 (multiplicity 4)

Results
ΔE to the lowest computed polymorph (meV/atom): 594
Energy relative to the elements, uncorrected (eV per atom): 0.0474
E (eV per formula unit): -14.1
Spin magnetization (μB/f.u.): 1.491

=====

A geometry-optimized MgZr4Sb structure. Source: Alexandria, functional PBE.

abc: 8.280 8.280 8.280
angles: 90.00 90.00 90.00
Space group F-43m (No. 216)
Inequivalent atoms, fractional coordinates:
1 Mg 0.000 0.000 0.000 (multiplicity 4)
2 Zr 0.126 0.126 0.374 (multiplicity 16)
3 Sb 0.250 0.250 0.750 (multiplicity 4)

Results
Energy relative to the elements, uncorrected (eV per atom): 0.1853
E (eV per formula unit): -38.8
Spin magnetization (μB/f.u.): 0.000

=====

A geometry-optimized MgZrSb2 structure. Source: Alexandria, functional PBE.

abc: 4.089 13.400 7.662
angles: 90.00 90.00 90.00
Space group Imm2 (No. 44)
Inequivalent atoms, fractional coordinates:
1 Mg 0.000 0.122 0.000 (multiplicity 4)
2 Zr 0.000 0.372 0.010 (multiplicity 4)
3 Sb 0.000 0.000 0.342 (multiplicity 2)
4 Sb 0.000 0.253 0.681 (multiplicity 4)
5 Sb 0.000 0.500 0.321 (multiplicity 2)

Results
Energy relative to the elements, uncorrected (eV per atom): -0.4566
E (eV per formula unit): -20.2
Spin magnetization (μB/f.u.): 0.000

=====

A geometry-optimized MgZrSb2 structure. Source: Alexandria, functional PBE.

abc: 13.124 3.883 9.330
angles: 90.00 125.19 90.00
Space group C2/m (No. 12)
Inequivalent atoms, fractional coordinates:
1 Mg 0.116 0.000 0.469 (multiplicity 4)
2 Zr 0.104 0.000 0.945 (multiplicity 4)
3 Sb 0.116 0.500 0.209 (multiplicity 4)
4 Sb 0.142 0.500 0.736 (multiplicity 4)

Results
Energy relative to the elements, uncorrected (eV per atom): -0.4285
E (eV per formula unit): -20.1
Spin magnetization (μB/f.u.): 0.000

=====

A geometry-optimized Mg2ZrSb structure. Source: Alexandria, functional PBE.

abc: 3.609 4.259 5.956
angles: 90.00 90.00 90.00
Space group Pmmm (No. 47)
Inequivalent atoms, fractional coordinates:
1 Mg 0.000 0.000 0.242 (multiplicity 2)
2 Zr 0.500 0.500 0.000 (multiplicity 1)
3 Sb 0.500 0.500 0.500 (multiplicity 1)

Results
Energy relative to the elements, uncorrected (eV per atom): -0.1049
E (eV per formula unit): -16.3
Spin magnetization (μB/f.u.): 0.000

=====

A geometry-optimized Mg2ZrSb structure. Source: Alexandria, functional PBE.

abc: 3.181 3.181 9.456
angles: 90.00 90.00 90.00
Space group P4mm (No. 99)
Inequivalent atoms, fractional coordinates:
1 Mg 0.000 0.000 0.000 (multiplicity 1)
2 Mg 0.500 0.500 0.237 (multiplicity 1)
3 Zr 0.500 0.500 0.753 (multiplicity 1)
4 Sb 0.000 0.000 0.522 (multiplicity 1)

Results
Energy relative to the elements, uncorrected (eV per atom): -0.0745
E (eV per formula unit): -16.2
Spin magnetization (μB/f.u.): 0.000

=====

A geometry-optimized Mg2Sc3 structure. Source: Alexandria, functional PBE.

abc: 13.018 22.668 3.295
angles: 90.00 90.00 90.00
Space group Fdd2 (No. 43)
Inequivalent atoms, fractional coordinates:
1 Mg 0.064 0.286 0.000 (multiplicity 16)
2 Sc 0.000 0.000 0.296 (multiplicity 8)
3 Sc 0.113 0.146 0.118 (multiplicity 16)

Results
ΔE to the lowest computed polymorph (meV/atom): 153
E (eV per formula unit): -21.5
Formation energy from the elements (eV/atom): 0.137
Spin magnetization (μB/f.u.): 0.000

=====

A geometry-optimized Mg5Sc7 structure. Source: Alexandria, functional PBE.

abc: 16.697 3.287 11.850
angles: 90.00 118.14 90.00
Space group Cm (No. 8)
Inequivalent atoms, fractional coordinates:
1 Mg 0.000 0.000 0.000 (multiplicity 2)
2 Mg 0.027 0.000 0.748 (multiplicity 2)
3 Mg 0.164 0.500 0.996 (multiplicity 2)
4 Mg 0.197 0.000 0.248 (multiplicity 2)
5 Mg 0.363 0.500 0.249 (multiplicity 2)
6 Sc 0.033 0.500 0.250 (multiplicity 2)
7 Sc 0.168 0.000 0.504 (multiplicity 2)
8 Sc 0.196 0.500 0.749 (multiplicity 2)
9 Sc 0.333 0.000 0.998 (multiplicity 2)
10 Sc 0.333 0.500 0.504 (multiplicity 2)
11 Sc 0.363 0.000 0.750 (multiplicity 2)
12 Sc 0.498 0.000 0.496 (multiplicity 2)

Results
E (eV per formula unit): -52.3
Formation energy from the elements (eV/atom): -0.005
Spin magnetization (μB/f.u.): 1.331

=====

A geometry-optimized Mg2Sc3 structure. Source: Alexandria, functional PBE.

abc: 8.437 11.034 5.481
angles: 90.00 104.20 90.00
Space group C2/c (No. 15)
Inequivalent atoms, fractional coordinates:
1 Mg 0.000 0.064 0.250 (multiplicity 4)
2 Mg 0.000 0.191 0.750 (multiplicity 4)
3 Sc 0.157 0.424 0.989 (multiplicity 8)
4 Sc 0.250 0.250 0.500 (multiplicity 4)

Results
ΔE to the lowest computed polymorph (meV/atom): 219
E (eV per formula unit): -21.2
Formation energy from the elements (eV/atom): 0.202
Spin magnetization (μB/f.u.): 0.624

=====

A geometry-optimized Mg6Sc structure. Source: Alexandria, functional PBE.

abc: 7.752 7.752 7.752
angles: 90.00 90.00 90.00
Space group Im-3m (No. 229)
Inequivalent atoms, fractional coordinates:
1 Mg 0.000 0.250 0.500 (multiplicity 12)
2 Sc 0.000 0.000 0.000 (multiplicity 2)

Results
ΔE to the lowest computed polymorph (meV/atom): 735
E (eV per formula unit): -9.7
Formation energy from the elements (eV/atom): 0.882
Spin magnetization (μB/f.u.): 0.001

=====

A geometry-optimized Mg3Sc5 structure. Source: Alexandria, functional PBE.

abc: 11.845 11.845 5.470
angles: 90.00 90.00 90.00
Space group I4/mcm (No. 140)
Inequivalent atoms, fractional coordinates:
1 Mg 0.000 0.000 0.250 (multiplicity 4)
2 Mg 0.169 0.331 0.000 (multiplicity 8)
3 Sc 0.000 0.500 0.250 (multiplicity 4)
4 Sc 0.081 0.228 0.500 (multiplicity 16)

Results
ΔE to the lowest computed polymorph (meV/atom): 111
E (eV per formula unit): -35.8
Formation energy from the elements (eV/atom): 0.086
Spin magnetization (μB/f.u.): 0.171

=====

A geometry-optimized Mg3Sc13 structure. Source: Alexandria, functional PBE.

abc: 6.526 10.512 11.286
angles: 90.00 90.00 90.00
Space group Amm2 (No. 38)
Inequivalent atoms, fractional coordinates:
1 Mg 0.000 0.000 0.000 (multiplicity 2)
2 Mg 0.246 0.000 0.243 (multiplicity 4)
3 Sc 0.000 0.000 0.497 (multiplicity 2)
4 Sc 0.000 0.249 0.832 (multiplicity 4)
5 Sc 0.250 0.241 0.579 (multiplicity 8)
6 Sc 0.255 0.000 0.748 (multiplicity 4)
7 Sc 0.500 0.000 0.495 (multiplicity 2)
8 Sc 0.500 0.000 0.996 (multiplicity 2)
9 Sc 0.500 0.248 0.827 (multiplicity 4)

Results
E (eV per formula unit): -86.9
Formation energy from the elements (eV/atom): 0.010
Spin magnetization (μB/f.u.): 0.000

=====

A geometry-optimized Mg2Sc3 structure. Source: Alexandria, functional PBE.

abc: 3.2639 3.2639 39.2060
angles: 90.00 90.00 120.00
Space group R-3m (No. 166, hexagonal axes)
Inequivalent atoms, fractional coordinates:
1 Mg 0.0000 0.0000 0.1004 (multiplicity 6)
2 Sc 0.0000 0.0000 0.3002 (multiplicity 6)
3 Sc 0.0000 0.0000 0.5000 (multiplicity 3)

Results
ΔE to the lowest computed polymorph (meV/atom): 34
E (eV per formula unit): -22.1
Formation energy from the elements (eV/atom): 0.017
Spin magnetization (μB/f.u.): 0.972

=====

A geometry-optimized Mg4Sc structure. Source: Alexandria, functional PBE.

abc: 3.268 3.268 21.590
angles: 90.00 90.00 90.00
Space group I4/mmm (No. 139)
Inequivalent atoms, fractional coordinates:
1 Mg 0.000 0.000 0.102 (multiplicity 4)
2 Mg 0.000 0.000 0.299 (multiplicity 4)
3 Sc 0.000 0.000 0.500 (multiplicity 2)

Results
ΔE to the lowest computed polymorph (meV/atom): 0
E (eV per formula unit): -12.8
Formation energy from the elements (eV/atom): -0.020
Spin magnetization (μB/f.u.): 0.305

=====

A geometry-optimized Mg2Sc7 structure. Source: Alexandria, functional PBE.

abc: 5.6098 5.6098 8.0308
angles: 90.00 90.00 120.00
Space group P-31m (No. 162)
Inequivalent atoms, fractional coordinates:
1 Mg 0.3333 0.6667 0.0000 (multiplicity 2)
2 Sc 0.0000 0.0000 0.0000 (multiplicity 1)
3 Sc 0.0000 0.3320 0.6619 (multiplicity 6)

Results
E (eV per formula unit): -47.2
Formation energy from the elements (eV/atom): 0.037
Spin magnetization (μB/f.u.): 2.014

=====

A geometry-optimized Mg8Sc structure. Source: Alexandria, functional PBE.

abc: 9.437 9.437 4.648
angles: 90.00 90.00 90.00
Space group I4/mmm (No. 139)
Inequivalent atoms, fractional coordinates:
1 Mg 0.000 0.334 0.000 (multiplicity 8)
2 Mg 0.167 0.167 0.500 (multiplicity 8)
3 Sc 0.000 0.000 0.000 (multiplicity 2)

Results
ΔE to the lowest computed polymorph (meV/atom): 0
E (eV per formula unit): -19.2
Formation energy from the elements (eV/atom): -0.010
Spin magnetization (μB/f.u.): 0.000

=====

A geometry-optimized Mg23Sc6 structure. Source: Alexandria, functional PBE.

abc: 13.959 13.959 13.959
angles: 90.00 90.00 90.00
Space group Fm-3m (No. 225)
Inequivalent atoms, fractional coordinates:
1 Mg 0.000 0.000 0.000 (multiplicity 4)
2 Mg 0.000 0.250 0.250 (multiplicity 24)
3 Mg 0.120 0.120 0.120 (multiplicity 32)
4 Mg 0.164 0.164 0.336 (multiplicity 32)
5 Sc 0.000 0.000 0.320 (multiplicity 24)

Results
E (eV per formula unit): -73.4
Formation energy from the elements (eV/atom): 0.044
Spin magnetization (μB/f.u.): 0.000